Sr2AlCu: relaxed, PBE-GGA.

Properties
Its formation energy is -0.142 eV/atom. For the density of states at the Fermi level, the calculation gives 0.95 states/eV/atom.

Geometry as CIF:
```
data_Sr2AlCu
_space_group_name_H-M_alt 'C 1 m 1'
_space_group_IT_number 8
_cell_length_a 7.6020
_cell_length_b 4.4091
_cell_length_c 8.5766
_cell_angle_alpha 90.00
_cell_angle_beta 107.38
_cell_angle_gamma 90.00
loop_
_space_group_symop_operation_xyz
'x,y,z'
'x,-y,z'
'x+1/2,y+1/2,z'
'x+1/2,-y+1/2,z'
loop_
_atom_site_label
_atom_site_type_symbol
_atom_site_fract_x
_atom_site_fract_y
_atom_site_fract_z
_atom_site_occupancy
Sr1 Sr 0.0000 0.0000 0.0000 1
Sr2 Sr 0.1767 0.0000 0.5249 1
Al1 Al 0.4223 0.0000 0.2623 1
Cu1 Cu 0.2565 0.5000 0.2631 1
```

---

SrAl4Cu9: relaxed, PBE-GGA.

Properties
Its formation energy is -0.239 eV/atom. For the density of states at the Fermi level, the calculation gives 0.56 states/eV/atom.

Geometry as CIF:
```
data_SrAl4Cu9
_space_group_name_H-M_alt 'I 4/m c m'
_space_group_IT_number 140
_space_group_name_Hall '-I 4 2c'
_cell_length_a 8.3958
_cell_length_b 8.3958
_cell_length_c 11.7921
_cell_angle_alpha 90.00
_cell_angle_beta 90.00
_cell_angle_gamma 90.00
loop_
_atom_site_label
_atom_site_type_symbol
_atom_site_fract_x
_atom_site_fract_y
_atom_site_fract_z
_atom_site_occupancy
Sr1 Sr 0.0000 0.0000 0.2500 1
Al1 Al 0.1810 0.3190 0.1189 1
Cu1 Cu 0.0000 0.5000 0.0000 1
Cu2 Cu 0.0597 0.2045 0.5000 1
Cu3 Cu 0.1152 0.3848 0.3212 1
```

---

Sr2AlCu: relaxed, PBE-GGA.

Properties
Its formation energy is -0.013 eV/atom. For the density of states at the Fermi level, the calculation gives 0.77 states/eV/atom.

Geometry as CIF:
```
data_Sr2AlCu
_space_group_name_H-M_alt 'P 1 2/m 1'
_space_group_IT_number 10
_cell_length_a 3.7338
_cell_length_b 3.8552
_cell_length_c 8.0445
_cell_angle_alpha 90.00
_cell_angle_beta 90.16
_cell_angle_gamma 90.00
loop_
_space_group_symop_operation_xyz
'x,y,z'
'-x,-y,-z'
'-x,y,-z'
'x,-y,z'
loop_
_atom_site_label
_atom_site_type_symbol
_atom_site_fract_x
_atom_site_fract_y
_atom_site_fract_z
_atom_site_occupancy
Sr1 Sr 0.0006 0.0000 0.2619 1
Al1 Al 0.5000 0.5000 0.0000 1
Cu1 Cu 0.5000 0.5000 0.5000 1
```